(1)
Material: Dy4TmTe2
Method: DFT, GGA-PBE
State: optimized geometry

Properties
Formation energy (no corrections)   -0.50 eV per atom
Total magnetic moment   0.00 μB per cell

Cell and atoms, written as CIF:
```
data_Dy4TmTe2
_symmetry_space_group_name_H-M 'P 1'
_symmetry_Int_Tables_number 1
_cell_length_a 5.405
_cell_length_b 5.405
_cell_length_c 9.365
_cell_angle_alpha 73.23
_cell_angle_beta 73.23
_cell_angle_gamma 60.00
loop_
_symmetry_equiv_pos_as_xyz
'x,y,z'
loop_
_atom_site_label
_atom_site_type_symbol
_atom_site_fract_x
_atom_site_fract_y
_atom_site_fract_z
Dy1 Dy 0.866 0.866 0.402
Dy2 Dy 0.134 0.134 0.598
Dy3 Dy 0.735 0.735 0.796
Dy4 Dy 0.265 0.265 0.204
Te1 Te 0.383 0.383 0.850
Te2 Te 0.617 0.617 0.150
Tm1 Tm 0.500 0.500 0.500
```


(2)
Material: Dy4TmTe5
Method: DFT, GGA-PBE
State: optimized geometry

Properties
Distance to the lowest polymorph of the same formula   0 meV per atom
Formation energy (no corrections)   -1.26 eV per atom
Total magnetic moment   0.00 μB per cell

Cell and atoms, written as CIF:
```
data_Dy4TmTe5
_symmetry_space_group_name_H-M 'P 1'
_symmetry_Int_Tables_number 1
_cell_length_a 4.271
_cell_length_b 4.271
_cell_length_c 16.247
_cell_angle_alpha 97.55
_cell_angle_beta 97.55
_cell_angle_gamma 90.00
loop_
_symmetry_equiv_pos_as_xyz
'x,y,z'
loop_
_atom_site_label
_atom_site_type_symbol
_atom_site_fract_x
_atom_site_fract_y
_atom_site_fract_z
Dy1 Dy 0.610 0.610 0.220
Dy2 Dy 0.390 0.390 0.780
Dy3 Dy 0.188 0.188 0.376
Dy4 Dy 0.812 0.812 0.624
Te1 Te 0.093 0.093 0.186
Te2 Te 0.708 0.708 0.416
Te3 Te 0.907 0.907 0.814
Te4 Te 0.292 0.292 0.584
Te5 Te 0.500 0.500 0.000
Tm1 Tm 0.000 0.000 0.000
```


(3)
Material: DyTmTe2
Method: DFT, GGA-PBE
State: optimized geometry

Properties
Distance to the lowest polymorph of the same formula   37 meV per atom
Formation energy (no corrections)   -1.22 eV per atom
Total magnetic moment   0.00 μB per cell

Cell and atoms, written as CIF:
```
data_DyTmTe2
_symmetry_space_group_name_H-M 'P 1'
_symmetry_Int_Tables_number 1
_cell_length_a 4.326
_cell_length_b 4.326
_cell_length_c 7.492
_cell_angle_alpha 73.22
_cell_angle_beta 73.22
_cell_angle_gamma 60.00
loop_
_symmetry_equiv_pos_as_xyz
'x,y,z'
loop_
_atom_site_label
_atom_site_type_symbol
_atom_site_fract_x
_atom_site_fract_y
_atom_site_fract_z
Tm1 Tm 0.000 0.000 0.000
Te1 Te 0.252 0.252 0.245
Te2 Te 0.748 0.748 0.755
Dy1 Dy 0.500 0.500 0.500
```